# 1
# Al2ZnS4 | the Open Quantum Materials Database | PBE | relaxed
# Calculated total energy = -129.558 eV for the cell shown
# V = 127.37 Å³/f.u.
data_Al2ZnS4
_space_group_name_H-M_alt 'I 41/a m d'
_space_group_IT_number 141
_cell_length_a 7.117
_cell_length_b 7.117
_cell_length_c 10.058
_cell_angle_alpha 90.00
_cell_angle_beta 90.00
_cell_angle_gamma 90.00
loop_
_space_group_symop_operation_xyz
'x,y,z'
'-x,-y,-z'
'-y+1/4,x+3/4,z+1/4'
'y+1/4,-x+3/4,-z+1/4'
'-x+1/2,-y,z+1/2'
'x+1/2,y,-z+1/2'
'y+1/4,-x+1/4,z+3/4'
'-y+1/4,x+1/4,-z+3/4'
'x,-y,-z'
'-x,y,z'
'-y+1/4,-x+1/4,-z+3/4'
'y+1/4,x+1/4,z+3/4'
'-x+1/2,y,-z+1/2'
'x+1/2,-y,z+1/2'
'y+1/4,x+3/4,-z+1/4'
'-y+1/4,-x+3/4,z+1/4'
'x+1/2,y+1/2,z+1/2'
'-x+1/2,-y+1/2,-z+1/2'
'-y+3/4,x+1/4,z+3/4'
'y+3/4,-x+1/4,-z+3/4'
'-x,-y+1/2,z'
'x,y+1/2,-z'
'y+3/4,-x+3/4,z+1/4'
'-y+3/4,x+3/4,-z+1/4'
'x+1/2,-y+1/2,-z+1/2'
'-x+1/2,y+1/2,z+1/2'
'-y+3/4,-x+3/4,-z+1/4'
'y+3/4,x+3/4,z+1/4'
'-x,y+1/2,-z'
'x,-y+1/2,z'
'y+3/4,x+1/4,-z+3/4'
'-y+3/4,-x+1/4,z+3/4'
loop_
_atom_site_label
_atom_site_type_symbol
_atom_site_fract_x
_atom_site_fract_y
_atom_site_fract_z
_atom_site_occupancy
Al1 Al 0.000 0.000 0.000 1
Zn1 Zn 0.000 0.250 0.375 1
S1 S 0.000 0.019 0.760 1


# 2
# TaAlSb | the Open Quantum Materials Database | PBE | relaxed
# Excess energy over the best structure of this formula in the dataset = 255 meV/atom
# Calculated total energy = -69.382 eV for the cell shown
# V = 69.57 Å³/f.u.
data_TaAlSb
_space_group_name_H-M_alt 'F -4 3 m'
_space_group_IT_number 216
_space_group_name_Hall 'F -4 2 3'
_cell_length_a 6.529
_cell_length_b 6.529
_cell_length_c 6.529
_cell_angle_alpha 90.00
_cell_angle_beta 90.00
_cell_angle_gamma 90.00
loop_
_atom_site_label
_atom_site_type_symbol
_atom_site_fract_x
_atom_site_fract_y
_atom_site_fract_z
_atom_site_occupancy
Ta1 Ta 0.000 0.000 0.000 1
Al1 Al 0.000 0.000 0.500 1
Sb1 Sb 0.250 0.250 0.750 1


# 3
# TaAlSb | the Open Quantum Materials Database | PBE | relaxed
# Excess energy over the best structure of this formula in the dataset = 0 meV/atom
# Calculated total energy = -72.436 eV for the cell shown
# V = 69.56 Å³/f.u.
data_TaAlSb
_space_group_name_H-M_alt 'F -4 3 m'
_space_group_IT_number 216
_space_group_name_Hall 'F -4 2 3'
_cell_length_a 6.529
_cell_length_b 6.529
_cell_length_c 6.529
_cell_angle_alpha 90.00
_cell_angle_beta 90.00
_cell_angle_gamma 90.00
loop_
_atom_site_label
_atom_site_type_symbol
_atom_site_fract_x
_atom_site_fract_y
_atom_site_fract_z
_atom_site_occupancy
Ta1 Ta 0.000 0.000 0.000 1
Al1 Al 0.250 0.250 0.750 1
Sb1 Sb 0.250 0.250 0.250 1


# 4
# Al2TcSb | the Open Quantum Materials Database | PBE | relaxed
# Calculated total energy = -83.879 eV for the cell shown
# V = 68.54 Å³/f.u.
data_Al2TcSb
_space_group_name_H-M_alt 'F -4 3 m'
_space_group_IT_number 216
_space_group_name_Hall 'F -4 2 3'
_cell_length_a 6.496
_cell_length_b 6.496
_cell_length_c 6.496
_cell_angle_alpha 90.00
_cell_angle_beta 90.00
_cell_angle_gamma 90.00
loop_
_atom_site_label
_atom_site_type_symbol
_atom_site_fract_x
_atom_site_fract_y
_atom_site_fract_z
_atom_site_occupancy
Al1 Al 0.000 0.000 0.000 1
Al2 Al 0.250 0.250 0.250 1
Tc1 Tc 0.250 0.250 0.750 1
Sb1 Sb 0.000 0.000 0.500 1